## 1
Here is Ce2RuN after structural relaxation from Alexandria via LeMat-Bulk. Energies are from PBE-GGA.

Geometry as POSCAR:
```
Ce2RuN
1.0
3.1622 0.0000 0.0000
0.0000 3.1622 0.0000
0.0000 0.0000 6.8140
Ce Ru N
2 1 1
Direct
0.0000 0.0000 0.2153
0.0000 0.0000 0.7847
0.5000 0.5000 0.5000
0.5000 0.5000 0.0000
```

For the total magnetic moment, the calculation gives 0.154 μB/f.u.

## 2
Here is Ce2RuN after structural relaxation from Alexandria via LeMat-Bulk. Energies are from PBE-GGA.

Geometry as POSCAR:
```
Ce2RuN
1.0
1.7738 1.0241 6.8925
-1.7738 1.0241 6.8925
0.0000 -2.0482 6.8925
Ce Ru N
2 1 1
Direct
0.2365 0.2365 0.2365
0.7635 0.7635 0.7635
0.0000 0.0000 0.0000
0.5000 0.5000 0.5000
```

For the total magnetic moment, the calculation gives 0.000 μB/f.u.

## 3
Here is Ce2RuN after structural relaxation from Alexandria via LeMat-Bulk. Energies are from PBE-GGA.

Geometry as POSCAR:
```
Ce2RuN
1.0
7.0939 0.0000 0.0000
0.0000 6.6540 0.0000
-0.7378 0.0000 6.8098
Ce Ru N
8 4 4
Direct
0.1435 0.1620 0.3721
0.1435 0.3380 0.8721
0.3174 0.6685 0.5363
0.3174 0.8315 0.0363
0.6826 0.1685 0.9637
0.6826 0.3315 0.4637
0.8565 0.6620 0.1279
0.8565 0.8380 0.6279
0.4593 0.0636 0.7030
0.4593 0.4364 0.2030
0.5407 0.5636 0.7970
0.5407 0.9364 0.2970
0.0640 0.6760 0.8591
0.0640 0.8240 0.3591
0.9360 0.1760 0.6409
0.9360 0.3240 0.1409
```

For the total magnetic moment, the calculation gives 0.137 μB/f.u.

Energies relative to the minimum, kJ/mol of atoms: 1 21.6; 2 1.5; 3 0.0

## 1
Here is Ce2SN after structural relaxation from Alexandria via LeMat-Bulk. Energies are from PBE-GGA.

Geometry as POSCAR:
```
Ce2SN
1.0
1.8279 1.0553 6.7298
-1.8279 1.0553 6.7298
0.0000 -2.1106 6.7298
Ce S N
2 1 1
Direct
0.0000 0.0000 0.0000
0.1517 0.1517 0.1517
0.5758 0.5758 0.5758
0.4045 0.4045 0.4045
```

For the total magnetic moment, the calculation gives 1.307 μB/f.u.

## 2
Here is Ce2SN after structural relaxation from Alexandria via LeMat-Bulk. Energies are from PBE-GGA.

Geometry as POSCAR:
```
Ce2SN
1.0
-2.7258 2.7258 5.2402
2.7258 -2.7258 5.2402
2.7258 2.7258 -5.2402
Ce S N
4 2 2
Direct
0.1056 0.3556 0.7500
0.3556 0.1056 0.2500
0.6444 0.8944 0.7500
0.8944 0.6444 0.2500
0.3750 0.6250 0.7500
0.6250 0.3750 0.2500
0.1250 0.8750 0.2500
0.8750 0.1250 0.7500
```

For the total magnetic moment, the calculation gives 0.001 μB/f.u.

## 3
Here is Ce2SN after structural relaxation from Alexandria via LeMat-Bulk. Energies are from PBE-GGA.

Geometry as POSCAR:
```
Ce2SN
1.0
3.2424 0.0000 0.0000
0.0000 3.2424 0.0000
0.0000 0.0000 6.6693
Ce S N
2 1 1
Direct
0.0000 0.0000 0.2208
0.0000 0.0000 0.7792
0.5000 0.5000 0.5000
0.5000 0.5000 0.0000
```

For the total magnetic moment, the calculation gives 2.066 μB/f.u.

Energies relative to the minimum, kJ/mol of atoms: 1 19.3; 2 0.0; 3 45.8

## 1
Here is CeSN after structural relaxation from Alexandria via LeMat-Bulk. Energies are from PBE-GGA.

Geometry as POSCAR:
```
CeSN
1.0
-1.7744 1.7744 4.4641
1.7744 -1.7744 4.4641
1.7744 1.7744 -4.4641
Ce S N
1 1 1
Direct
0.0000 0.0000 0.0000
0.3408 0.3408 0.0000
0.5384 0.5384 0.0000
```

For the total magnetic moment, the calculation gives 0.721 μB/f.u.

## 2
Here is CeSN after structural relaxation from Alexandria via LeMat-Bulk. Energies are from PBE-GGA.

Geometry as POSCAR:
```
CeSN
1.0
5.8153 0.0000 0.0000
0.0000 5.8153 0.0000
0.0000 0.0000 4.0752
Ce S N
2 2 2
Direct
0.2500 0.2500 0.0029
0.7500 0.7500 0.9971
0.2500 0.7500 0.0000
0.7500 0.2500 0.0000
0.2500 0.2500 0.5030
0.7500 0.7500 0.4970
```

For the total magnetic moment, the calculation gives 0.199 μB/f.u.

## 3
Here is CeSN after structural relaxation from Alexandria via LeMat-Bulk. Energies are from PBE-GGA.

Geometry as POSCAR:
```
CeSN
1.0
8.9011 0.0000 0.0000
0.0000 3.9499 0.0000
-1.8443 0.0000 7.9540
Ce S N
4 4 4
Direct
0.1736 0.2479 0.4174
0.1736 0.2521 0.9174
0.8264 0.7479 0.0826
0.8264 0.7521 0.5826
0.1615 0.7503 0.1644
0.1615 0.7497 0.6644
0.8385 0.2503 0.3356
0.8385 0.2497 0.8356
0.4367 0.0497 0.4837
0.4367 0.4503 0.9837
0.5633 0.5497 0.0163
0.5633 0.9503 0.5163
```

For the total magnetic moment, the calculation gives 1.333 μB/f.u.

Energies relative to the minimum, kJ/mol of atoms: 1 26.1; 2 51.3; 3 0.0

## 1
Here is Ce4SN3 after structural relaxation from Alexandria via LeMat-Bulk. Energies are from PBE-GGA.

Geometry as POSCAR:
```
Ce4SN3
1.0
5.2303 0.0000 0.0000
0.0000 5.2303 0.0000
0.0000 0.0000 5.2303
Ce S N
4 1 3
Direct
0.0000 0.0000 0.0000
0.0000 0.5000 0.5000
0.5000 0.0000 0.5000
0.5000 0.5000 0.0000
0.5000 0.5000 0.5000
0.0000 0.0000 0.5000
0.0000 0.5000 0.0000
0.5000 0.0000 0.0000
```

For the total magnetic moment, the calculation gives 1.515 μB/f.u.

## 2
Here is Ce4SN3 after structural relaxation from Alexandria via LeMat-Bulk. Energies are from PBE-GGA.

Geometry as POSCAR:
```
Ce4SN3
1.0
3.5694 0.0000 0.0000
-1.7847 3.0912 0.0000
0.0000 0.0000 12.8179
Ce S N
4 1 3
Direct
0.3333 0.6667 0.3459
0.3333 0.6667 0.8842
0.6667 0.3333 0.1158
0.6667 0.3333 0.6541
0.0000 0.0000 0.5000
0.0000 0.0000 0.0000
0.0000 0.0000 0.2402
0.0000 0.0000 0.7598
```

For the total magnetic moment, the calculation gives 2.966 μB/f.u.

Energies relative to the minimum, kJ/mol of atoms: 1 6.0; 2 0.0

## 1
Here is Ce3S3N after structural relaxation from Alexandria via LeMat-Bulk. Energies are from PBE-GGA.

Geometry as POSCAR:
```
Ce3S3N
1.0
11.8771 0.0000 0.0000
0.0000 4.0019 0.0000
0.0000 0.0000 12.8195
Ce S N
12 12 4
Direct
0.0349 0.2500 0.1524
0.0951 0.2500 0.6220
0.2346 0.2500 0.8697
0.2654 0.7500 0.3697
0.4049 0.7500 0.1220
0.4651 0.7500 0.6524
0.5349 0.2500 0.3476
0.5951 0.2500 0.8780
0.7346 0.2500 0.6303
0.7654 0.7500 0.1303
0.9049 0.7500 0.3780
0.9651 0.7500 0.8476
0.0743 0.2500 0.3908
0.1437 0.7500 0.0053
0.2332 0.7500 0.7077
0.2668 0.2500 0.2077
0.3563 0.2500 0.5053
0.4257 0.7500 0.8908
0.5743 0.2500 0.1092
0.6437 0.7500 0.4947
0.7332 0.7500 0.7923
0.7668 0.2500 0.2923
0.8563 0.2500 0.9947
0.9257 0.7500 0.6092
0.0531 0.2500 0.7992
0.4469 0.7500 0.2992
0.5531 0.2500 0.7008
0.9469 0.7500 0.2008
```

For the total magnetic moment, the calculation gives 2.813 μB/f.u.

## 2
Here is Ce3S3N after structural relaxation from Alexandria via LeMat-Bulk. Energies are from PBE-GGA.

Geometry as POSCAR:
```
Ce3S3N
1.0
3.9386 -5.9676 0.0000
3.9386 5.9676 0.0000
-1.1225 0.0000 6.8818
Ce S N
6 6 2
Direct
0.1030 0.1030 0.3030
0.1581 0.4648 0.7790
0.4648 0.1581 0.7790
0.5352 0.8419 0.2210
0.8419 0.5352 0.2210
0.8970 0.8970 0.6970
0.1648 0.8352 0.0000
0.2366 0.7634 0.5000
0.3983 0.3983 0.1553
0.6017 0.6017 0.8447
0.7634 0.2366 0.5000
0.8352 0.1648 0.0000
0.1841 0.1841 0.6411
0.8159 0.8159 0.3589
```

For the total magnetic moment, the calculation gives 3.030 μB/f.u.

## 3
Here is Ce3S3N after structural relaxation from Alexandria via LeMat-Bulk. Energies are from PBE-GGA.

Geometry as POSCAR:
```
Ce3S3N
1.0
7.1492 0.0000 0.0000
0.0000 12.4504 0.0000
-4.8831 0.0000 6.8470
Ce S N
12 12 4
Direct
0.2102 0.0752 0.2058
0.2105 0.0826 0.7559
0.2105 0.4174 0.2559
0.2102 0.4248 0.7058
0.2481 0.7264 0.7480
0.2481 0.7736 0.2480
0.7519 0.2264 0.7520
0.7519 0.2736 0.2520
0.7898 0.5752 0.2942
0.7895 0.5826 0.7441
0.7895 0.9174 0.2441
0.7898 0.9248 0.7942
0.2547 0.2202 0.4995
0.2547 0.2798 0.9995
0.2900 0.5865 0.0602
0.2900 0.9135 0.5602
0.3121 0.6053 0.4962
0.3121 0.8947 0.9962
0.6879 0.1053 0.0038
0.6879 0.3947 0.5038
0.7100 0.0865 0.4398
0.7100 0.4135 0.9398
0.7453 0.7202 0.0005
0.7453 0.7798 0.5005
0.0094 0.5798 0.6299
0.0094 0.9202 0.1299
0.9906 0.0798 0.8701
0.9906 0.4202 0.3701
```

For the total magnetic moment, the calculation gives 2.491 μB/f.u.

Energies relative to the minimum, kJ/mol of atoms: 1 0.0; 2 11.0; 3 4.7

## 1
Here is CeSbN after structural relaxation from Alexandria via LeMat-Bulk. Energies are from PBE-GGA.

Geometry as POSCAR:
```
CeSbN
1.0
4.1141 0.0000 0.0000
0.0000 4.1141 0.0000
0.0000 0.0000 7.7860
Ce Sb N
2 2 2
Direct
0.2500 0.2500 0.1349
0.7500 0.7500 0.8651
0.2500 0.2500 0.5639
0.7500 0.7500 0.4361
0.2500 0.7500 0.0000
0.7500 0.2500 0.0000
```

For the total magnetic moment, the calculation gives 0.143 μB/f.u.

## 2
Here is CeSbN after structural relaxation from Alexandria via LeMat-Bulk. Energies are from PBE-GGA.

Geometry as POSCAR:
```
CeSbN
1.0
-1.6222 1.6222 6.3512
1.6222 -1.6222 6.3512
1.6222 1.6222 -6.3512
Ce Sb N
1 1 1
Direct
0.0000 0.0000 0.0000
0.2759 0.2759 0.0000
0.5380 0.5380 0.0000
```

For the total magnetic moment, the calculation gives 0.000 μB/f.u.

## 3
Here is CeSbN after structural relaxation from Alexandria via LeMat-Bulk. Energies are from PBE-GGA.

Geometry as POSCAR:
```
CeSbN
1.0
3.7777 0.0000 0.0000
-1.8888 3.2716 0.0000
0.0000 0.0000 5.7679
Ce Sb N
1 1 1
Direct
0.0000 0.0000 0.0000
0.6667 0.3333 0.5000
0.3333 0.6667 0.0000
```

For the total magnetic moment, the calculation gives 0.000 μB/f.u.

Energies relative to the minimum, kJ/mol of atoms: 1 0.0; 2 41.4; 3 39.5

## 1
Here is CeSeN after structural relaxation from Alexandria via LeMat-Bulk. Energies are from PBE-GGA.

Geometry as POSCAR:
```
CeSeN
1.0
-1.7729 1.7729 4.9579
1.7729 -1.7729 4.9579
1.7729 1.7729 -4.9579
Ce Se N
1 1 1
Direct
0.0000 0.0000 0.0000
0.3307 0.3307 0.0000
0.5326 0.5326 0.0000
```

For the total magnetic moment, the calculation gives 0.593 μB/f.u.

## 2
Here is CeSeN after structural relaxation from Alexandria via LeMat-Bulk. Energies are from PBE-GGA.

Geometry as POSCAR:
```
CeSeN
1.0
-2.0216 2.1809 7.4490
2.0216 -2.1809 7.4490
2.0216 2.1809 -7.4490
Ce Se N
2 2 2
Direct
0.1250 0.1250 0.0000
0.8750 0.8750 0.0000
0.3316 0.3316 0.0000
0.6684 0.6684 0.0000
0.0000 0.3415 0.3415
0.0000 0.6585 0.6585
```

For the total magnetic moment, the calculation gives 0.135 μB/f.u.

## 3
Here is CeSeN after structural relaxation from Alexandria via LeMat-Bulk. Energies are from PBE-GGA.

Geometry as POSCAR:
```
CeSeN
1.0
2.8227 -2.8226 0.0000
2.8227 2.8226 0.0000
-2.7980 0.0000 7.7868
Ce Se N
2 2 2
Direct
0.1774 0.1774 0.3534
0.8226 0.8226 0.6466
0.4217 0.4217 0.8453
0.5783 0.5783 0.1547
0.2500 0.7500 0.5000
0.7500 0.2500 0.5000
```

For the total magnetic moment, the calculation gives 0.000 μB/f.u.

Energies relative to the minimum, kJ/mol of atoms: 1 51.0; 2 12.2; 3 0.0

## 1
Here is Ce2SmN3 after structural relaxation from Alexandria via LeMat-Bulk. Energies are from PBE-GGA.

Geometry as POSCAR:
```
Ce2SmN3
1.0
-1.7858 2.5286 5.3519
1.7858 -2.5286 5.3519
1.7858 2.5286 -5.3519
Ce Sm N
2 1 3
Direct
0.1665 0.1665 0.0000
0.8335 0.8335 0.0000
0.5000 0.5000 0.0000
0.0000 0.5000 0.5000
0.3271 0.8271 0.5000
0.6729 0.1729 0.5000
```

For the total magnetic moment, the calculation gives 0.255 μB/f.u.

## 2
Here is Ce2SmN3 after structural relaxation from Alexandria via LeMat-Bulk. Energies are from PBE-GGA.

Geometry as POSCAR:
```
Ce2SmN3
1.0
6.1152 0.0000 0.0000
-3.0576 5.2959 0.0000
0.0000 0.0000 6.5182
Ce Sm N
4 2 6
Direct
0.3333 0.6667 0.0000
0.3333 0.6667 0.5000
0.6667 0.3333 0.0000
0.6667 0.3333 0.5000
0.0000 0.0000 0.2500
0.0000 0.0000 0.7500
0.0000 0.3899 0.2500
0.0000 0.6101 0.7500
0.3899 0.0000 0.2500
0.3899 0.3899 0.7500
0.6101 0.0000 0.7500
0.6101 0.6101 0.2500
```

For the total magnetic moment, the calculation gives 1.313 μB/f.u.

Energies relative to the minimum, kJ/mol of atoms: 1 0.0; 2 31.0